[1]
This record from the Alexandria database describes a crystal of LaSc2Rh relaxed with PBEsol. The functional is SCAN.

Structure (POSCAR):
```
LaSc2Rh
1.0
-0.474 -3.245 0.386
2.552 0.069 3.711
-4.499 2.634 3.044
La Rh Sc
1 1 2
Cartesian
1.039 -1.588 2.049 La
-1.211 -0.271 3.571 Rh
-3.629 -0.993 2.513 Sc
-1.344 0.382 0.917 Sc
```

Summary:
E_form	-0.29	eV/atom

---

[2]
This record from the Alexandria database describes a crystal of Zr5AlSb3 relaxed with PBEsol. The functional is SCAN.

Structure (POSCAR):
```
Zr5AlSb3
1.0
-1.601 -1.733 -5.288
-2.995 -7.343 3.314
-5.169 6.834 -0.675
Al Sb Zr
2 6 10
Cartesian
0.000 0.000 0.000 Al
-0.801 -0.867 -2.644 Al
-4.358 -1.497 -2.946 Sb
-4.371 2.891 -4.380 Sb
-3.038 -5.804 -1.934 Sb
-5.407 -0.746 0.296 Sb
-2.399 2.209 -1.583 Sb
-1.558 -3.273 -0.041 Sb
-7.148 -1.671 -2.044 Zr
-2.604 0.555 -4.150 Zr
-2.014 -3.294 -3.067 Zr
-2.617 -0.572 -0.606 Zr
-4.166 4.545 -1.814 Zr
-2.582 -5.783 1.092 Zr
-3.720 -2.617 1.984 Zr
-5.245 1.242 -1.990 Zr
-4.444 2.108 0.655 Zr
-4.520 -3.484 -0.660 Zr
```

Summary:
formation energy (no corrections)	-0.814	eV/atom

---

[3]
This record from the Alexandria database describes a crystal of Ca3Mg4 relaxed with PBEsol. The functional is SCAN.

Structure (POSCAR):
```
Ca3Mg4
1.0
3.750 0.000 0.000
0.000 3.750 0.000
-1.875 -1.875 14.654
Ca Mg
3 4
Cartesian
0.000 0.000 0.000 Ca
0.000 0.000 8.759 Ca
1.875 1.875 5.895 Ca
0.000 0.000 3.740 Mg
0.000 0.000 12.497 Mg
1.875 1.875 2.157 Mg
1.875 1.875 10.914 Mg
```

Summary:
E_form	-0.04	eV/atom

---

Number 1: calculated total energy -26.628 eV per atom. Number 2: calculated total energy -31.150 eV per atom. Number 3: calculated total energy -7.022 eV per atom.